Entry 1:
First-principles (GGA-PBE) data for an optimized crystal structure of Ce2ThSi2, as listed in Alexandria.

Cell and atoms, written as POSCAR:
```
Ce2ThSi2
1.0
4.0268 0.0000 0.0000
0.0000 5.7586 -0.8511
0.0000 -3.0761 11.9216
Si Th Ce
4 2 4
Cartesian
1.0067 3.0139 6.6580
1.0067 -0.9702 11.4190
3.0201 3.6527 -0.3485
3.0201 -0.3315 4.4125
1.0067 4.0798 1.8818
3.0201 -1.3973 9.1887
3.0201 2.6245 4.5540
1.0067 0.0579 6.5165
1.0067 1.7570 9.6336
3.0201 0.9254 1.4369
```

## Properties
Uncorrected formation energy   -401 meV/atom
V   26.59 Å³/atom
Relative energy among the computed polymorphs   192.3 meV/atom
SG   P2_1/m (11)

Entry 2:
First-principles (GGA-PBE) data for an optimized crystal structure of BaCdTe2O8, as listed in Alexandria.

Cell and atoms, written as POSCAR:
```
BaCdTe2O8
1.0
-0.5433 -5.1910 -1.5944
1.9243 -4.0326 3.1335
-6.4203 -3.4886 4.2057
Te O Cd Ba
2 8 1 1
Cartesian
-3.8979 -9.5413 4.3721
-1.1414 -3.1709 1.3726
-2.2718 -9.4434 3.4994
-5.5718 -6.8098 2.5334
-4.1574 -7.8382 5.0535
-4.5596 -4.8252 4.6420
-2.7675 -3.2688 2.2453
-0.8819 -4.8739 0.6912
0.5325 -5.9024 3.2114
-0.4797 -7.8870 1.1028
0.0000 0.0000 0.0000
-2.5196 -6.3561 2.8724
```

## Properties
Uncorrected formation energy   -1238 meV/atom
V   16.81 Å³/atom
SG   R-3 (148)

Entry 3:
First-principles (GGA-PBE) data for an optimized crystal structure of Sm2UPd9, as listed in Alexandria.

Cell and atoms, written as POSCAR:
```
Sm2UPd9
1.0
4.1557 0.0000 0.0000
0.0000 4.1557 0.0000
0.0000 0.0000 12.4648
Pd Sm U
9 2 1
Cartesian
0.0000 2.0779 6.2324
2.0779 0.0000 1.9866
2.0779 2.0779 0.0000
2.0779 2.0779 4.1220
2.0779 0.0000 10.4782
0.0000 2.0779 1.9866
2.0779 2.0779 8.3428
0.0000 2.0779 10.4782
2.0779 0.0000 6.2324
0.0000 0.0000 4.1850
0.0000 0.0000 8.2798
0.0000 0.0000 0.0000
```

## Properties
V   17.94 Å³/atom
SG   P4/mmm (123)
ΔH_f (0 K)   -0.75 eV/atom

Entry 4:
First-principles (GGA-PBE) data for an optimized crystal structure of Sr2LaBi2, as listed in Alexandria.

Cell and atoms, written as POSCAR:
```
Sr2LaBi2
1.0
-1.0720 -6.8209 5.8044
-5.6226 -4.0379 -5.7834
3.5979 -2.2219 -1.9466
Sr La Bi
4 2 4
Cartesian
-1.9771 -4.6948 -3.8619
0.6072 -4.1204 0.2590
-1.1195 -8.3859 1.9364
-3.7038 -8.9604 -2.1845
0.0000 0.0000 0.0000
-3.3473 -5.4294 0.0105
-5.0726 -5.6869 -2.8846
-1.6219 -5.1718 2.9056
-2.0731 -2.4704 -1.0121
-4.6214 -8.3884 1.0331
```

## Properties
V   37.88 Å³/atom
Relative energy among the computed polymorphs   0.0 meV/atom
SG   P4/mbm (127)
ΔH_f (0 K)   -0.79 eV/atom

Entry 5:
First-principles (GGA-PBE) data for an optimized crystal structure of Sm2GaPt5, as listed in Alexandria.

Cell and atoms, written as POSCAR:
```
Sm2GaPt5
1.0
-1.1975 5.8454 0.7567
-0.6468 -2.2856 -5.5257
-3.7332 -3.9639 2.5546
Pt Ga Sm
5 1 2
Cartesian
-1.8853 1.4665 -0.4155
-3.7350 -1.9316 -1.8278
-2.9055 -3.5327 0.3171
-1.1350 -1.6194 -0.7699
-1.5173 -2.7778 -3.3172
-4.1360 -5.9013 -2.8055
-2.0153 0.2202 -3.1260
-3.5585 -0.6189 0.9142
```

## Properties
V   19.87 Å³/atom
SG   I4mm (107)
ΔH_f (0 K)   -0.90 eV/atom

Entry 6:
First-principles (GGA-PBE) data for an optimized crystal structure of LiTaCo3, as listed in Alexandria.

Cell and atoms, written as POSCAR:
```
LiTaCo3
1.0
3.8739 0.0000 0.0000
0.0000 3.8739 0.0000
0.0000 0.0000 3.8739
Co Li Ta
3 1 1
Cartesian
0.0000 0.0000 1.9370
0.0000 1.9370 0.0000
1.9370 0.0000 0.0000
0.0000 0.0000 0.0000
1.9370 1.9370 1.9370
```

## Properties
V   11.63 Å³/atom
Relative energy among the computed polymorphs   0.0 meV/atom
SG   Pm-3m (221)
ΔH_f (0 K)   0.51 eV/atom

What did we get for Fermi-level density of states? Answer: 21.0, 0.0, 9.2, 2.9, 4.0, 1.6 states/eV/cell, in the order shown.
What did we get for total moment? Answer: 2.264, 0.000, 1.503, 1.905, 0.000, 0.975 μB/cell, in the order shown.